{"formula": "Co2Si", "functional": "PBE", "state": "relaxed", "dft_energy_ry_per_atom": -0.5055, "e_form_raw_ev_per_atom": -0.333, "mass_density_g_cm3": 7.5, "total_magnetization_mub_per_fu": 1.32, "lattice_angstrom": [[2.3226, -3.8756, 0.6266], [2.8796, -2.3454, 2.6484], [-3.1955, -3.6018, 3.6063]], "species": ["Co", "Co", "Co", "Co", "Si", "Si"], "fractional_positions": [[0.1635, 0.1635, 0.8789], [0.8539, 0.8539, 0.5342], [0.8365, 0.8365, 0.1211], [0.1461, 0.1461, 0.4658], [0.5368, 0.5368, 0.2190], [0.4632, 0.4632, 0.7810]]}